ZrTcNi2 | GGA-PBE | relaxed

Unit cell a=2.7569 b=2.7569 c=7.5348 alpha=90.00 beta=90.00 gamma=90.00
With the nearest neighbours (Å) after each atom.
Fractional positions:
Zr1 0.0000 0.0000 0.0000  4 Zr 2.76, 8 Ni 2.83
Tc1 0.0000 0.0000 0.5000  8 Ni 2.60, 4 Tc 2.76
Ni1 0.5000 0.5000 0.2723  4 Tc 2.60, 4 Ni 2.76, 4 Zr 2.83
Ni2 0.5000 0.5000 0.7277  4 Tc 2.60, 4 Ni 2.76, 4 Zr 2.83

* space-group type: No. 123
* energy above the most stable polymorph in this dataset: 240 meV/atom
* spin magnetization: 0.00 μB per cell
* ΔH_f (0 K): -0.02 eV per atom